VASP calculation (SCAN) on a crystal of Zr5Co3 relaxed with PBEsol.

Its density of states at the Fermi level is 0.79 states/eV/atom. The energy of formation is -0.17 eV/atom.

a b c (Å): 5.468 7.595 7.595
angles (deg): 120.00 90.00 90.00
Fractional positions:
Zr (0.750, 0.243, 0.243)
Zr (0.000, 0.333, 0.667)
Zr (0.750, 0.757, 0.000)
Zr (0.500, 0.333, 0.667)
Zr (0.250, 0.757, 0.757)
Zr (0.750, 0.000, 0.757)
Zr (0.250, 0.243, 0.000)
Zr (0.500, 0.667, 0.333)
Zr (0.000, 0.667, 0.333)
Zr (0.250, 0.000, 0.243)
Co (0.250, 0.000, 0.603)
Co (0.750, 0.397, 0.000)
Co (0.250, 0.603, 0.000)
Co (0.750, 0.603, 0.603)
Co (0.750, 0.000, 0.397)
Co (0.250, 0.397, 0.397)

---

VASP calculation (SCAN) on a crystal of CaLaAg2 relaxed with PBEsol.

Its density of states at the Fermi level is 0.77 states/eV/atom. The energy of formation is -0.32 eV/atom.

a b c (Å): 3.582 5.292 5.292
angles (deg): 90.07 90.00 90.00
Fractional positions:
Ag (0.000, 0.500, 0.000)
Ag (0.000, 0.000, 0.500)
La (0.500, 0.500, 0.500)
Ca (0.500, 0.000, 0.000)

---

VASP calculation (SCAN) on a crystal of AgW relaxed with PBEsol.

Its density of states at the Fermi level is 1.54 states/eV/atom. The energy of formation is 2.14 eV/atom.

a b c (Å): 3.994 3.994 5.325
angles (deg): 90.00 90.00 120.00
Fractional positions:
W (0.333, 0.667, 0.250)
W (0.667, 0.333, 0.750)
Ag (0.000, 0.000, 0.500)
Ag (0.000, 0.000, 0.000)

---

VASP calculation (SCAN) on a crystal of SrMnSiMo2 relaxed with PBEsol.

Its density of states at the Fermi level is 0.96 states/eV/atom. Its total energy is -21.088 eV per atom.

a b c (Å): 4.548 4.719 4.719
angles (deg): 90.00 90.00 90.00
Each line ends with the local moment (μB).
Fractional positions:
Mo (0.000, 0.500, 0.000)  -0.11
Mo (0.000, 0.000, 0.500)  -0.11
Sr (0.000, 0.000, 0.000)  -0.01
Si (0.500, 0.500, 0.500)  -0.02
Mn (0.500, 0.000, 0.000)  3.83

---

VASP calculation (SCAN) on a crystal of ZrTiF2 relaxed with PBEsol.

Its density of states at the Fermi level is 0.90 states/eV/atom. Its total energy is -15.182 eV per atom.

a b c (Å): 4.013 4.013 7.469
angles (deg): 105.58 105.58 90.00
Fractional positions:
Ti (0.500, 0.500, 0.000)
Ti (0.750, 0.250, 0.500)
Zr (0.000, 0.000, 0.000)
Zr (0.250, 0.750, 0.500)
F (0.387, 0.875, 0.250)
F (0.625, 0.613, 0.750)
F (0.125, 0.137, 0.750)
F (0.863, 0.375, 0.250)

---

VASP calculation (SCAN) on a crystal of CaAlAsAu2 relaxed with PBEsol.

Its density of states at the Fermi level is 0.56 states/eV/atom. The energy of formation is -0.04 eV/atom.

a b c (Å): 4.749 5.036 5.036
angles (deg): 90.00 90.00 90.00
Fractional positions:
Ca (0.500, 0.500, 0.500)
Au (0.000, 0.500, 0.000)
Au (0.000, 0.000, 0.500)
As (0.000, 0.000, 0.000)
Al (0.500, 0.000, 0.000)

---

VASP calculation (SCAN) on a crystal of RbNa2LiOs relaxed with PBEsol.

Its density of states at the Fermi level is 0.29 states/eV/atom. The energy of formation is 1.19 eV/atom.

a b c (Å): 5.734 5.734 6.122
angles (deg): 90.00 90.00 90.00
Each line ends with the local moment (μB).
Fractional positions:
Na (0.500, 0.000, 0.000)  0.00
Na (0.000, 0.500, 0.000)  0.00
Os (0.000, 0.000, 0.000)  1.57
Rb (0.000, 0.000, 0.500)  0.04
Li (0.500, 0.500, 0.500)  0.00

---

VASP calculation (SCAN) on a crystal of CaLaI5 relaxed with PBEsol.

Its density of states at the Fermi level is 0.00 states/eV/atom. Its total energy is -35.429 eV per atom.

a b c (Å): 4.377 7.482 18.742
angles (deg): 90.00 90.00 107.01
Fractional positions:
I (0.363, 0.727, 0.058)
I (0.637, 0.273, 0.942)
I (0.158, 0.316, 0.750)
I (0.100, 0.201, 0.351)
I (0.100, 0.201, 0.149)
I (0.900, 0.799, 0.851)
I (0.363, 0.727, 0.442)
I (0.637, 0.273, 0.558)
I (0.900, 0.799, 0.649)
I (0.842, 0.684, 0.250)
La (0.000, 0.000, 0.500)
La (0.000, 0.000, 0.000)
Ca (0.510, 0.020, 0.750)
Ca (0.490, 0.980, 0.250)

---

Number 7 is which compound?
RbNa2LiOs